1.
DFT (PBE-GGA) results for a relaxed structure of EuScCuSn.

Cell: 5.1141 5.1141 5.1141 Å, 60.00 60.00 60.00°
With the nearest neighbours (Å) after each atom.
Atoms (fractional coordinates):
1 Sn 0.2500 0.2500 0.2500  4 Sc 3.13, 4 Eu 3.13
2 Cu 0.7500 0.7500 0.7500  4 Eu 3.13, 4 Sc 3.13
3 Sc 0.5000 0.5000 0.5000  4 Sn 3.13, 4 Cu 3.13
4 Eu 0.0000 0.0000 0.0000  4 Sn 3.13, 4 Cu 3.13

## Properties
Space group   F-43m (216)
E_form   -350 meV/atom

=====

2.
DFT (PBE-GGA) results for a relaxed structure of EuScZnCu.

Cell: 4.9471 4.9471 4.9471 Å, 60.00 60.00 60.00°
With the nearest neighbours (Å) after each atom.
Atoms (fractional coordinates):
1 Sc 0.5000 0.5000 0.5000  4 Cu 3.03, 4 Zn 3.03
2 Zn 0.7500 0.7500 0.7500  4 Sc 3.03, 4 Eu 3.03
3 Eu 0.0000 0.0000 0.0000  4 Cu 3.03, 4 Zn 3.03
4 Cu 0.2500 0.2500 0.2500  4 Sc 3.03, 4 Eu 3.03

## Properties
Space group   F-43m (216)
E_form   -133 meV/atom

=====

3.
DFT (PBE-GGA) results for a relaxed structure of Eu2CuSi3.

Cell: 4.0857 4.0857 8.7263 Å, 90.00 90.00 120.00°
With the nearest neighbours (Å) after each atom.
Atoms (fractional coordinates):
1 Eu 0.0000 0.0000 0.7562  9 Si 3.18-3.25, 3 Cu 3.18
2 Si 0.3333 0.6667 0.0000  3 Cu 2.36
3 Si 0.3333 0.6667 0.5000  3 Si 2.36
4 Cu 0.6667 0.3333 0.0000  3 Si 2.36
5 Eu 0.0000 0.0000 0.2438  9 Si 3.18-3.25, 3 Cu 3.18
6 Si 0.6667 0.3333 0.5000  3 Si 2.36

## Properties
Space group   P-6m2 (187)
ΔE_f (raw)   -0.4596 eV/atom